# 1
Computed, not measured: an optimized crystal structure of Ni2Pt4Rh3 at the PBE level of DFT.

Properties
The value obtained for the formation energy is 66.0 kJ/mol of formula units. For the mass density, the calculation gives 15.20 g/cm3. The magnetization comes out at 5.20 μB/f.u. Its symmetry is Immm (71). The uncorrected energy is -6.34 eV/atom. The value obtained for the offset from the most stable computed form is 0.117 eV/atom.

abc: 7.667 7.667 7.667
angles: 159.77 121.84 62.23
Atoms (fractional coordinates):
Ni 0.165 0.000 0.165
Ni 0.835 0.000 0.835
Pt 0.155 0.833 0.323
Pt 0.490 0.167 0.323
Pt 0.510 0.833 0.677
Pt 0.845 0.167 0.677
Rh 0.143 0.643 0.500
Rh 0.500 0.500 0.000
Rh 0.857 0.357 0.500

# 2
Computed, not measured: an optimized crystal structure of NiPt2Rh6 at the PBE level of DFT.

Properties
The value obtained for the formation energy is 116.6 kJ/mol of formula units. For the mass density, the calculation gives 13.51 g/cm3. The magnetization comes out at 0.00 μB/f.u. Its symmetry is C2/m (12). The uncorrected energy is -6.75 eV/atom. The value obtained for the offset from the most stable computed form is 0.000 eV/atom.

abc: 4.664 4.664 8.063
angles: 115.75 115.75 59.73
Atoms (fractional coordinates):
Ni 0.000 0.000 0.000
Pt 0.330 0.330 0.661
Pt 0.670 0.670 0.339
Rh 0.004 0.004 0.677
Rh 0.329 0.329 0.325
Rh 0.335 0.335 0.000
Rh 0.665 0.665 0.000
Rh 0.671 0.671 0.675
Rh 0.996 0.996 0.323

# 3
Computed, not measured: an optimized crystal structure of NiPt2Rh8 at the PBE level of DFT.

Properties
The value obtained for the formation energy is 6.1 kJ/mol of formula units. For the mass density, the calculation gives 13.45 g/cm3. The magnetization comes out at 1.73 μB/f.u. Its symmetry is C2/m (12). The uncorrected energy is -6.96 eV/atom.

abc: 7.204 7.204 6.092
angles: 104.78 104.78 31.00
Atoms (fractional coordinates):
Ni 0.000 0.000 0.000
Pt 0.273 0.273 0.360
Pt 0.727 0.727 0.640
Rh 0.088 0.088 0.452
Rh 0.179 0.179 0.908
Rh 0.367 0.367 0.824
Rh 0.457 0.457 0.270
Rh 0.543 0.543 0.730
Rh 0.633 0.633 0.176
Rh 0.821 0.821 0.092
Rh 0.912 0.912 0.548